1.
Here is Nb2RuSe after structural relaxation from the Alexandria database. Energies are from GGA-PBE.

Unit cell a=7.046 b=7.046 c=5.755 alpha=52.26 beta=52.26 gamma=90.00
Element x y z (fractional)
Ru (0.000, 0.000, 0.000)
Ru (0.750, 0.250, 0.500)
Nb (0.626, 0.125, 0.250)
Nb (0.124, 0.625, 0.250)
Nb (0.375, 0.374, 0.750)
Nb (0.875, 0.876, 0.750)
Se (0.500, 0.500, 0.000)
Se (0.250, 0.750, 0.500)

- Energy relative to the elements, uncorrected: 144 meV/atom
- Space-group type: I-42d, No. 122
- Crystal system: tetragonal

2.
Here is Nb3RuSe6 after structural relaxation from the Alexandria database. Energies are from GGA-PBE.

Unit cell a=7.339 b=7.339 c=7.339 alpha=87.03 beta=87.03 gamma=87.03
Element x y z (fractional)
Nb (0.402, 0.954, 0.817)
Nb (0.954, 0.817, 0.402)
Nb (0.183, 0.598, 0.046)
Nb (0.817, 0.402, 0.954)
Nb (0.046, 0.183, 0.598)
Nb (0.598, 0.046, 0.183)
Ru (0.000, 0.000, 0.000)
Ru (0.500, 0.500, 0.500)
Se (0.287, 0.901, 0.172)
Se (0.099, 0.828, 0.713)
Se (0.597, 0.823, 0.484)
Se (0.828, 0.713, 0.099)
Se (0.484, 0.597, 0.823)
Se (0.177, 0.516, 0.403)
Se (0.823, 0.484, 0.597)
Se (0.516, 0.403, 0.177)
Se (0.172, 0.287, 0.901)
Se (0.403, 0.177, 0.516)
Se (0.901, 0.172, 0.287)
Se (0.713, 0.099, 0.828)

- Energy relative to the elements, uncorrected: -471 meV/atom
- Space-group type: R-3, No. 148
- Crystal system: trigonal

3.
Here is Nb3RuSe after structural relaxation from the Alexandria database. Energies are from GGA-PBE.

Unit cell a=4.674 b=4.674 c=4.674 alpha=90.00 beta=90.00 gamma=90.00
Element x y z (fractional)
Ru (0.500, 0.500, 0.500)
Nb (0.000, 0.500, 0.000)
Nb (0.000, 0.000, 0.500)
Nb (0.500, 0.000, 0.000)
Se (0.000, 0.000, 0.000)

- Energy relative to the elements, uncorrected: 929 meV/atom
- Space-group type: Pm-3m, No. 221
- Crystal system: cubic
- E above lowest polymorph: 0.000 eV/atom

4.
Here is NbSn2RuSe after structural relaxation from the Alexandria database. Energies are from GGA-PBE.

Unit cell a=5.423 b=4.681 c=5.423 alpha=90.00 beta=90.00 gamma=90.00
Element x y z (fractional)
Ru (0.000, 0.500, 0.000)
Nb (0.000, 0.000, 0.000)
Sn (0.000, 0.000, 0.500)
Sn (0.500, 0.000, 0.000)
Se (0.500, 0.500, 0.500)

- Energy relative to the elements, uncorrected: 895 meV/atom
- Space-group type: P4/mmm, No. 123
- Crystal system: tetragonal

5.
Here is Nb2TeRuSe after structural relaxation from the Alexandria database. Energies are from GGA-PBE.

Unit cell a=5.026 b=5.170 c=5.026 alpha=90.00 beta=90.00 gamma=90.00
Element x y z (fractional)
Ru (0.500, 0.500, 0.500)
Nb (0.000, 0.000, 0.500)
Nb (0.500, 0.000, 0.000)
Te (0.000, 0.000, 0.000)
Se (0.000, 0.500, 0.000)

- Energy relative to the elements, uncorrected: 2005 meV/atom
- Space-group type: P4/mmm, No. 123
- Crystal system: tetragonal

6.
Here is Nb2RuWSe after structural relaxation from the Alexandria database. Energies are from GGA-PBE.

Unit cell a=4.664 b=4.552 c=4.664 alpha=90.00 beta=90.00 gamma=90.00
Element x y z (fractional)
Ru (0.500, 0.500, 0.500)
Nb (0.000, 0.000, 0.500)
Nb (0.500, 0.000, 0.000)
Se (0.000, 0.000, 0.000)
W (0.000, 0.500, 0.000)

- Energy relative to the elements, uncorrected: 1224 meV/atom
- Space-group type: P4/mmm, No. 123
- Crystal system: tetragonal